[1]
Below is an optimized crystal structure of SmAlTc, with properties calculated at the PBE level.

Structure (POSCAR):
```
SmAlTc
1.0
3.456 0.000 0.000
0.000 3.456 0.000
0.000 0.000 10.137
Sm Al Tc
2 2 2
direct
0.000 0.000 0.000
0.500 0.500 0.500
0.000 0.000 0.288
0.500 0.500 0.788
0.000 0.000 0.696
0.500 0.500 0.196
```

Values from the calculation:
crystal system: tetragonal
formation energy: -14.19 kJ/mol of atoms
E: -6.42 eV/atom
space group: I4mm, No. 107

[2]
Below is an optimized crystal structure of CrPHS2, with properties calculated at the PBE level.

Structure (POSCAR):
```
CrPHS2
1.0
4.597 0.000 0.000
0.000 4.597 0.000
0.000 0.000 3.150
Cr P H S
1 1 1 2
direct
0.000 0.000 0.000
0.500 0.500 0.000
0.500 0.500 0.500
0.000 0.500 0.500
0.500 0.000 0.500
```

Values from the calculation:
crystal system: tetragonal
E: -4.76 eV/atom
space group: P4/mmm, No. 123

[3]
Below is an optimized crystal structure of CoHg2Br, with properties calculated at the PBE level.

Structure (POSCAR):
```
CoHg2Br
1.0
3.230 0.000 0.000
0.000 4.316 0.000
0.000 0.000 13.398
Co Hg Br
2 4 2
direct
0.000 0.000 0.000
0.500 0.500 0.500
0.000 0.500 0.314
0.000 0.500 0.686
0.500 0.000 0.186
0.500 0.000 0.814
0.000 0.000 0.500
0.500 0.500 0.000
```

Values from the calculation:
crystal system: orthorhombic
energy relative to the elements, uncorrected: 317 meV/atom
E: -2.03 eV/atom
space group: Immm, No. 71

[4]
Below is an optimized crystal structure of Be2ZnCl6, with properties calculated at the PBE level.

Structure (POSCAR):
```
Be2ZnCl6
1.0
6.261 -6.494 0.000
6.261 6.494 0.000
-2.473 0.000 5.348
Be Zn Cl
4 2 12
direct
0.152 0.305 0.340
0.305 0.152 0.840
0.695 0.848 0.160
0.848 0.695 0.660
0.278 0.722 0.750
0.722 0.278 0.250
0.068 0.694 0.885
0.133 0.255 0.648
0.255 0.133 0.148
0.282 0.511 0.415
0.306 0.932 0.615
0.489 0.718 0.085
0.511 0.282 0.915
0.694 0.068 0.385
0.718 0.489 0.585
0.745 0.867 0.852
0.867 0.745 0.352
0.932 0.306 0.115
```

Values from the calculation:
crystal system: monoclinic
energy relative to the elements, uncorrected: -1309 meV/atom
E: -3.51 eV/atom
space group: C2/c, No. 15

[5]
Below is an optimized crystal structure of Ba4Cu2Au, with properties calculated at the PBE level.

Structure (POSCAR):
```
Ba4Cu2Au
1.0
6.395 0.000 0.000
0.000 6.395 0.000
0.000 0.000 15.396
Ba Cu Au
8 4 2
direct
0.000 0.000 0.217
0.000 0.000 0.783
0.000 0.500 0.000
0.000 0.500 0.500
0.500 0.000 0.000
0.500 0.000 0.500
0.500 0.500 0.283
0.500 0.500 0.717
0.000 0.000 0.422
0.000 0.000 0.578
0.500 0.500 0.078
0.500 0.500 0.922
0.000 0.000 0.000
0.500 0.500 0.500
```

Values from the calculation:
crystal system: tetragonal
formation energy: -9.33 kJ/mol of atoms
E: -2.83 eV/atom
space group: I4/mmm, No. 139

[6]
Below is an optimized crystal structure of Y5As, with properties calculated at the PBE level.

Structure (POSCAR):
```
Y5As
1.0
6.264 0.000 0.000
-3.132 5.424 0.000
0.000 0.000 5.955
Y As
5 1
direct
0.000 0.500 0.000
0.333 0.667 0.500
0.500 0.000 0.000
0.500 0.500 0.000
0.667 0.333 0.500
0.000 0.000 0.500
```

Values from the calculation:
crystal system: hexagonal
formation energy: 53.96 kJ/mol of atoms
E: -5.60 eV/atom
space group: P6/mmm, No. 191

[7]
Below is an optimized crystal structure of MoC, with properties calculated at the PBE level.

Structure (POSCAR):
```
MoC
1.0
5.715 0.000 0.000
0.000 5.715 0.000
0.000 0.000 5.715
Mo C
8 8
direct
0.125 0.125 0.125
0.125 0.625 0.625
0.375 0.375 0.875
0.375 0.875 0.375
0.625 0.125 0.625
0.625 0.625 0.125
0.875 0.375 0.375
0.875 0.875 0.875
0.125 0.125 0.625
0.125 0.625 0.125
0.375 0.375 0.375
0.375 0.875 0.875
0.625 0.125 0.125
0.625 0.625 0.625
0.875 0.375 0.875
0.875 0.875 0.375
```

Values from the calculation:
crystal system: cubic
formation energy: 194.85 kJ/mol of atoms
E: -8.01 eV/atom
space group: Fd-3m, No. 227

[8]
Below is an optimized crystal structure of NpAgS2, with properties calculated at the PBE level.

Structure (POSCAR):
```
NpAgS2
1.0
4.087 0.000 0.000
-2.044 3.540 0.000
0.000 0.000 17.626
Np Ag S
3 3 6
direct
0.000 0.000 0.000
0.333 0.667 0.667
0.667 0.333 0.333
0.000 0.000 0.500
0.333 0.667 0.167
0.667 0.333 0.833
0.000 0.000 0.253
0.000 0.000 0.747
0.333 0.667 0.414
0.333 0.667 0.920
0.667 0.333 0.080
0.667 0.333 0.586
```

Values from the calculation:
crystal system: trigonal
energy relative to the elements, uncorrected: -848 meV/atom
E: -6.86 eV/atom
space group: R-3m, No. 166